# 1
## Pr6Zn2Cu (PBE)

Data for an optimized crystal structure of Pr6Zn2Cu.

formation energy from the elements: -0.056 eV per atom
crystal system: monoclinic

Cell lengths 6.5376, 8.5688, 10.8089 Å; angles 90.00, 118.71, 90.00 degrees
With the nearest neighbours (Å) after each atom.
Element x y z (fractional)
Pr  0.0902  0.0501  0.2323  1 Cu 2.88, 1 Zn 3.18
Pr  0.0902  0.4499  0.7323  1 Cu 2.88, 1 Zn 3.18
Pr  0.1807  0.6961  0.0638  1 Cu 3.01, 2 Zn 3.12-3.35
Pr  0.1807  0.8039  0.5638  1 Cu 3.01, 2 Zn 3.12-3.35
Pr  0.4103  0.1675  0.0505  1 Cu 3.01, 3 Zn 3.02-3.20
Pr  0.4103  0.3325  0.5505  1 Cu 3.01, 3 Zn 3.02-3.20
Pr  0.5897  0.6675  0.4495  1 Cu 3.01, 3 Zn 3.02-3.20
Pr  0.5897  0.8325  0.9495  1 Cu 3.01, 3 Zn 3.02-3.20
Pr  0.8193  0.1961  0.4362  1 Cu 3.01, 2 Zn 3.12-3.35
Pr  0.8193  0.3039  0.9362  1 Cu 3.01, 2 Zn 3.12-3.35
Pr  0.9098  0.5501  0.2677  1 Cu 2.88, 1 Zn 3.18
Pr  0.9098  0.9499  0.7677  1 Cu 2.88, 1 Zn 3.18
Zn  0.3207  0.1128  0.7376  7 Pr 3.02-3.35
Zn  0.3207  0.3872  0.2376  7 Pr 3.02-3.35
Zn  0.6793  0.6128  0.7624  7 Pr 3.02-3.35
Zn  0.6793  0.8872  0.2624  7 Pr 3.02-3.35
Cu  0.5000  0.0000  0.5000  6 Pr 2.88-3.01
Cu  0.5000  0.5000  0.0000  6 Pr 2.88-3.01

***

# 2
## Pr3Zn2Cu9 (PBE)

Data for an optimized crystal structure of Pr3Zn2Cu9.

formation energy from the elements: -0.180 eV per atom
crystal system: orthorhombic

Cell lengths 8.0578, 8.0578, 8.0578 Å; angles 149.27, 112.86, 75.64 degrees
With the nearest neighbours (Å) after each atom.
Element x y z (fractional)
Pr  0.0000  0.0000  0.0000  12 Cu 2.99-3.30
Pr  0.2992  0.2992  0.0000  12 Cu 3.00-3.33, 2 Zn 3.13
Pr  0.7008  0.7008  0.0000  12 Cu 3.00-3.33, 2 Zn 3.13
Zn  0.2975  0.5000  0.7975  8 Cu 2.54-2.80
Zn  0.7025  0.5000  0.2025  8 Cu 2.54-2.80
Cu  0.0234  0.6690  0.3544  4 Cu 2.53-2.70, 1 Zn 2.54
Cu  0.1594  0.8755  0.2840  4 Cu 2.49-2.70, 2 Zn 2.66
Cu  0.3146  0.6690  0.6456  4 Cu 2.53-2.70, 1 Zn 2.54
Cu  0.4085  0.1245  0.2840  4 Cu 2.49-2.70, 2 Zn 2.66
Cu  0.5000  0.0000  0.5000  4 Cu 2.49
Cu  0.5915  0.8755  0.7160  4 Cu 2.49-2.70, 2 Zn 2.66
Cu  0.6854  0.3310  0.3544  4 Cu 2.53-2.70, 1 Zn 2.54
Cu  0.8406  0.1245  0.7160  4 Cu 2.49-2.70, 2 Zn 2.66
Cu  0.9766  0.3310  0.6456  4 Cu 2.53-2.70, 1 Zn 2.54

***

# 3
## Pr2Zn7Cu (PBE)

Data for an optimized crystal structure of Pr2Zn7Cu.

formation energy from the elements: -0.278 eV per atom
crystal system: tetragonal

Cell lengths 4.3034, 4.3034, 10.3529 Å; angles 90.00, 90.00, 90.00 degrees
With the nearest neighbours (Å) after each atom.
Element x y z (fractional)
Pr  0.0000  0.5000  0.2465  14 Zn 3.28-3.39, 2 Cu 3.34
Pr  0.5000  0.0000  0.7535  14 Zn 3.28-3.39, 2 Cu 3.34
Zn  0.0000  0.0000  0.0000  4 Zn 2.52
Zn  0.0000  0.0000  0.5000  4 Zn 2.56
Zn  0.0000  0.5000  0.6336  5 Zn 2.47-2.56
Zn  0.0000  0.5000  0.8726  3 Zn 2.47-2.52, 2 Cu 2.52
Zn  0.5000  0.0000  0.1274  3 Zn 2.47-2.52, 2 Cu 2.52
Zn  0.5000  0.0000  0.3664  5 Zn 2.47-2.56
Zn  0.5000  0.5000  0.5000  4 Zn 2.56
Cu  0.5000  0.5000  0.0000  4 Zn 2.52

***

# 4
## Pr2ZnCu7 (PBE)

Data for an optimized crystal structure of Pr2ZnCu7.

formation energy from the elements: -0.134 eV per atom
crystal system: tetragonal

Cell lengths 4.1484, 4.1484, 10.0916 Å; angles 90.00, 90.00, 90.00 degrees
With the nearest neighbours (Å) after each atom.
Element x y z (fractional)
Pr  0.0000  0.5000  0.2437  14 Cu 3.15-3.32, 2 Zn 3.32
Pr  0.5000  0.0000  0.7563  14 Cu 3.15-3.32, 2 Zn 3.32
Zn  0.0000  0.0000  0.5000  4 Cu 2.47
Cu  0.0000  0.0000  0.0000  4 Cu 2.45
Cu  0.0000  0.5000  0.6336  3 Cu 2.40-2.47, 2 Zn 2.47
Cu  0.0000  0.5000  0.8713  5 Cu 2.40-2.45
Cu  0.5000  0.0000  0.1287  5 Cu 2.40-2.45
Cu  0.5000  0.0000  0.3664  3 Cu 2.40-2.47, 2 Zn 2.47
Cu  0.5000  0.5000  0.0000  4 Cu 2.45
Cu  0.5000  0.5000  0.5000  4 Cu 2.47

***

# 5
## Pr2Zn6Cu9 (PBE)

Data for an optimized crystal structure of Pr2Zn6Cu9.

formation energy from the elements: -0.077 eV per atom
crystal system: hexagonal

Cell lengths 5.2393, 5.2393, 12.2794 Å; angles 90.00, 90.00, 120.00 degrees
With the nearest neighbours (Å) after each atom.
Element x y z (fractional)
Pr  0.0000  0.0000  0.1724  6 Zn 3.03, 12 Cu 3.29-3.37
Pr  0.0000  0.0000  0.8276  6 Zn 3.03, 12 Cu 3.29-3.37
Zn  0.3333  0.6667  0.1653  6 Cu 2.53-2.56
Zn  0.3333  0.6667  0.5000  6 Cu 2.54
Zn  0.3333  0.6667  0.8347  6 Cu 2.53-2.56
Zn  0.6667  0.3333  0.1653  6 Cu 2.53-2.56
Zn  0.6667  0.3333  0.5000  6 Cu 2.54
Zn  0.6667  0.3333  0.8347  6 Cu 2.53-2.56
Cu  0.0000  0.5000  0.0000  4 Zn 2.53, 4 Cu 2.62
Cu  0.0000  0.5000  0.3339  4 Zn 2.54-2.56, 4 Cu 2.62
Cu  0.0000  0.5000  0.6661  4 Zn 2.54-2.56, 4 Cu 2.62
Cu  0.5000  0.0000  0.0000  4 Zn 2.53, 4 Cu 2.62
Cu  0.5000  0.0000  0.3339  4 Zn 2.54-2.56, 4 Cu 2.62
Cu  0.5000  0.0000  0.6661  4 Zn 2.54-2.56, 4 Cu 2.62
Cu  0.5000  0.5000  0.0000  4 Zn 2.53, 4 Cu 2.62
Cu  0.5000  0.5000  0.3339  4 Zn 2.54-2.56, 4 Cu 2.62
Cu  0.5000  0.5000  0.6661  4 Zn 2.54-2.56, 4 Cu 2.62

***

# 6
## Pr2Zn9Cu (PBE)

Data for an optimized crystal structure of Pr2Zn9Cu.

formation energy from the elements: -0.028 eV per atom
crystal system: trigonal

Cell lengths 9.2191, 9.2191, 9.2191 Å; angles 34.63, 34.63, 34.63 degrees
With the nearest neighbours (Å) after each atom.
Element x y z (fractional)
Pr  0.1384  0.1384  0.1384  12 Zn 3.13-3.37, 3 Pr 3.49
Pr  0.8616  0.8616  0.8616  12 Zn 3.13-3.37, 3 Pr 3.49
Zn  0.0779  0.5814  0.5814  7 Zn 2.60-2.76
Zn  0.3343  0.3343  0.3343  6 Zn 2.60-2.63
Zn  0.4186  0.4186  0.9221  7 Zn 2.60-2.76
Zn  0.4186  0.9221  0.4186  7 Zn 2.60-2.76
Zn  0.5000  0.5000  0.5000  6 Zn 2.75
Zn  0.5814  0.0779  0.5814  7 Zn 2.60-2.76
Zn  0.5814  0.5814  0.0779  7 Zn 2.60-2.76
Zn  0.6657  0.6657  0.6657  6 Zn 2.60-2.63
Zn  0.9221  0.4186  0.4186  7 Zn 2.60-2.76
Cu  0.0000  0.0000  0.0000  18 Zn 3.17-3.45

***

# 7
## Pr3Zn2Cu4 (PBE)

Data for an optimized crystal structure of Pr3Zn2Cu4.

formation energy from the elements: -0.242 eV per atom
crystal system: monoclinic
offset from the most stable computed form: 0.00 eV/f.u.

Cell lengths 5.8026, 5.8026, 8.4910 Å; angles 108.32, 108.32, 44.52 degrees
With the nearest neighbours (Å) after each atom.
Element x y z (fractional)
Pr  0.0000  0.0000  0.0000  8 Cu 3.16-3.21, 4 Zn 3.21
Pr  0.3393  0.3393  0.3260  8 Cu 3.08-3.22, 4 Zn 3.15-3.16
Pr  0.6607  0.6607  0.6740  8 Cu 3.08-3.22, 4 Zn 3.15-3.16
Zn  0.3786  0.3786  0.7125  3 Cu 2.55
Zn  0.6214  0.6214  0.2875  3 Cu 2.55
Cu  0.0636  0.0636  0.3974  2 Zn 2.55, 1 Cu 2.55
Cu  0.2780  0.2780  0.9449  2 Cu 2.54, 1 Zn 2.55
Cu  0.7220  0.7220  0.0551  2 Cu 2.54, 1 Zn 2.55
Cu  0.9364  0.9364  0.6026  2 Zn 2.55, 1 Cu 2.55

***

# 8
## Pr8Zn2Cu (PBE)

Data for an optimized crystal structure of Pr8Zn2Cu.

formation energy from the elements: -0.097 eV per atom
crystal system: monoclinic
offset from the most stable computed form: 0.00 eV/f.u.

Cell lengths 9.6057, 9.6057, 6.9517 Å; angles 102.31, 102.31, 31.74 degrees
With the nearest neighbours (Å) after each atom.
Element x y z (fractional)
Pr  0.0263  0.0263  0.2743  1 Zn 3.10, 2 Cu 3.15
Pr  0.2007  0.2007  0.8129  3 Zn 3.01-3.37
Pr  0.3404  0.3404  0.5367  1 Cu 3.02, 3 Zn 3.06-3.17
Pr  0.4096  0.4096  0.0496  1 Cu 3.21, 6 Pr 3.51-3.58, 2 Zn 3.57
Pr  0.5904  0.5904  0.9504  1 Cu 3.21, 6 Pr 3.51-3.58, 2 Zn 3.57
Pr  0.6596  0.6596  0.4633  1 Cu 3.02, 3 Zn 3.06-3.17
Pr  0.7993  0.7993  0.1871  3 Zn 3.01-3.37
Pr  0.9737  0.9737  0.7257  1 Zn 3.10, 2 Cu 3.15
Zn  0.1908  0.1908  0.2400  7 Pr 3.01-3.37
Zn  0.8092  0.8092  0.7600  7 Pr 3.01-3.37
Cu  0.5000  0.5000  0.5000  8 Pr 3.02-3.21

***

# 9
## PrZn2Cu4 (PBE)

Data for an optimized crystal structure of PrZn2Cu4.

formation energy from the elements: -0.200 eV per atom
crystal system: tetragonal
offset from the most stable computed form: 0.00 eV/f.u.

Cell lengths 5.2878, 5.2878, 5.2878 Å; angles 103.46, 103.46, 122.31 degrees
With the nearest neighbours (Å) after each atom.
Element x y z (fractional)
Pr  0.0000  0.0000  0.0000  12 Cu 2.88-3.09
Zn  0.2500  0.7500  0.5000  2 Zn 2.55, 8 Cu 2.70
Zn  0.7500  0.2500  0.5000  2 Zn 2.55, 8 Cu 2.70
Cu  0.3111  0.3111  0.6222  2 Cu 2.48, 4 Zn 2.70
Cu  0.3111  0.6889  0.0000  2 Cu 2.48, 4 Zn 2.70
Cu  0.6889  0.3111  0.0000  2 Cu 2.48, 4 Zn 2.70
Cu  0.6889  0.6889  0.3778  2 Cu 2.48, 4 Zn 2.70

***

# 10
## PrZn5Cu2 (PBE)

Data for an optimized crystal structure of PrZn5Cu2.

formation energy from the elements: -0.212 eV per atom
crystal system: orthorhombic

Cell lengths 6.3138, 6.3138, 6.3138 Å; angles 143.26, 110.56, 81.23 degrees
With the nearest neighbours (Å) after each atom.
Element x y z (fractional)
Pr  0.0000  0.0000  0.0000  4 Cu 3.10, 8 Zn 3.32
Zn  0.1660  0.3529  0.8131  3 Cu 2.45-2.60, 1 Zn 2.69
Zn  0.4602  0.6471  0.8131  3 Cu 2.45-2.60, 1 Zn 2.69
Zn  0.5000  0.0000  0.5000  2 Cu 2.42
Zn  0.5398  0.3529  0.1869  3 Cu 2.45-2.60, 1 Zn 2.69
Zn  0.8340  0.6471  0.1869  3 Cu 2.45-2.60, 1 Zn 2.69
Cu  0.2480  0.7480  0.5000  7 Zn 2.42-2.60
Cu  0.7520  0.2520  0.5000  7 Zn 2.42-2.60

***

# 11
## Pr2Zn3Cu2 (PBE)

Data for an optimized crystal structure of Pr2Zn3Cu2.

formation energy from the elements: -0.273 eV per atom
crystal system: monoclinic

Cell lengths 5.5389, 5.5389, 6.9677 Å; angles 113.27, 113.27, 45.57 degrees
With the nearest neighbours (Å) after each atom.
Element x y z (fractional)
Pr  0.1449  0.1449  0.2712  4 Cu 2.94-3.11, 4 Zn 3.15-3.28
Pr  0.8551  0.8551  0.7288  4 Cu 2.94-3.11, 4 Zn 3.15-3.28
Zn  0.3744  0.3744  0.0717  3 Cu 2.63-2.65, 1 Zn 2.70
Zn  0.5000  0.5000  0.5000  4 Cu 2.65, 2 Zn 2.70
Zn  0.6256  0.6256  0.9283  3 Cu 2.63-2.65, 1 Zn 2.70
Cu  0.1378  0.1378  0.7134  5 Zn 2.63-2.65, 1 Pr 2.94
Cu  0.8622  0.8622  0.2866  5 Zn 2.63-2.65, 1 Pr 2.94

***

# 12
## Pr3Zn7Cu2 (PBE)

Data for an optimized crystal structure of Pr3Zn7Cu2.

formation energy from the elements: -0.271 eV per atom
crystal system: trigonal

Cell lengths 9.3294, 9.3294, 9.3294 Å; angles 34.15, 34.15, 34.15 degrees
With the nearest neighbours (Å) after each atom.
Element x y z (fractional)
Pr  0.0000  0.0000  0.0000  6 Cu 3.16, 12 Zn 3.43
Pr  0.1429  0.1429  0.1429  12 Zn 3.22-3.34, 3 Pr 3.40
Pr  0.8571  0.8571  0.8571  12 Zn 3.22-3.34, 3 Pr 3.40
Zn  0.0765  0.5793  0.5793  2 Cu 2.59-2.61, 5 Zn 2.72-2.82
Zn  0.4207  0.4207  0.9235  2 Cu 2.59-2.61, 5 Zn 2.72-2.82
Zn  0.4207  0.9235  0.4207  2 Cu 2.59-2.61, 5 Zn 2.72-2.82
Zn  0.5000  0.5000  0.5000  6 Zn 2.82
Zn  0.5793  0.0765  0.5793  2 Cu 2.59-2.61, 5 Zn 2.72-2.82
Zn  0.5793  0.5793  0.0765  2 Cu 2.59-2.61, 5 Zn 2.72-2.82
Zn  0.9235  0.4207  0.4207  2 Cu 2.59-2.61, 5 Zn 2.72-2.82
Cu  0.3342  0.3342  0.3342  6 Zn 2.59-2.61
Cu  0.6658  0.6658  0.6658  6 Zn 2.59-2.61

***

Question: Which value of formation energy from the elements does entry 12 give?
Answer: -0.271 eV per atom

***

Question: Look up the formation energy from the elements of the tenth one.
Answer: -0.212 eV per atom

***

Question: Which formula does entry 5 have?
Answer: Pr2Zn6Cu9

***

Question: Which value of formation energy from the elements does entry 9 give?
Answer: -0.200 eV per atom